First-principles (PBE) data for CuTc2Ru after structural relaxation, as listed in the Alexandria database.

Summary:
The calculated volume is 14.2 Å³/atom. As for the energy of formation: 140 kJ/mol of formula units. Its space-group type is No. 65. As for the total magnetization: 0.00 μB per formula unit.

a b c (Å): 2.6344 2.6344 9.0551
angles (deg): 90.00 90.00 115.20
Element x y z (fractional)
Ru 0.5000 0.5000 0.7500
Tc 0.0000 0.0000 0.5005
Tc 0.0000 0.0000 0.9995
Cu 0.5000 0.5000 0.2500